Zn3GaAu6: relaxed, PBE.

Results
As for the energy above the lowest structure with this stoichiometry: 0.000 eV per atom. The value obtained for the formation energy is -0.147 eV per atom.

Cell: 7.923 4.579 9.920 Å, 90.00 109.75 90.00°
Space group P2_1/m (No. 11)
One atom of each set of equivalent atoms:
Zn (0.044, 0.250, 0.376) [2 per cell]
Zn (0.129, 0.750, 0.217) [2 per cell]
Zn (0.273, 0.250, 0.978) [2 per cell]
Ga (0.443, 0.250, 0.589) [2 per cell]
Au (0.023, 0.750, 0.919) [2 per cell]
Au (0.143, 0.250, 0.675) [2 per cell]
Au (0.242, 0.750, 0.513) [2 per cell]
Au (0.341, 0.750, 0.831) [2 per cell]
Au (0.350, 0.250, 0.298) [2 per cell]
Au (0.420, 0.750, 0.130) [2 per cell]

=====

LaWAu: relaxed, PBE.

Results
As for the energy above the lowest structure with this stoichiometry: 0.063 eV per atom. The value obtained for the formation energy is 0.402 eV per atom.

Cell: 3.054 3.818 11.620 Å, 90.00 90.00 90.00°
Space group Imm2 (No. 44)
One atom of each set of equivalent atoms:
La (0.000, 0.000, 0.000) [2 per cell]
W (0.000, 0.000, 0.693) [2 per cell]
Au (0.000, 0.000, 0.299) [2 per cell]

=====

CeMg2Ga: relaxed, PBE.

Results
As for the energy above the lowest structure with this stoichiometry: 0.290 eV per atom. The value obtained for the formation energy is 0.075 eV per atom.

Cell: 3.0776 3.0776 33.1921 Å, 90.00 90.00 120.00°
Space group R-3m (No. 166, hexagonal axes)
One atom of each set of equivalent atoms:
Ce (0.0000, 0.0000, 0.0000) [3 per cell]
Mg (0.0000, 0.0000, 0.0977) [6 per cell]
Ga (0.0000, 0.0000, 0.5000) [3 per cell]

=====

Ac2MgAg: relaxed, PBE.

Results
As for the energy above the lowest structure with this stoichiometry: 0.041 eV per atom. The value obtained for the formation energy is -0.129 eV per atom.

Cell: 8.093 8.093 8.093 Å, 90.00 90.00 90.00°
Space group Fm-3m (No. 225)
One atom of each set of equivalent atoms:
Ac (0.250, 0.250, 0.250) [8 per cell]
Mg (0.000, 0.000, 0.000) [4 per cell]
Ag (0.000, 0.000, 0.500) [4 per cell]

=====

Na2LiTl: relaxed, PBE.

Results
As for the energy above the lowest structure with this stoichiometry: 0.000 eV per atom. The value obtained for the formation energy is -0.099 eV per atom.

Cell: 7.210 7.209 8.824 Å, 90.00 113.95 90.00°
Space group C2/m (No. 12)
One atom of each set of equivalent atoms:
Na (0.142, 0.000, 0.286) [4 per cell]
Na (0.250, 0.250, 0.000) [4 per cell]
Li (0.000, 0.252, 0.500) [4 per cell]
Tl (0.145, 0.500, 0.288) [4 per cell]

=====

Na3Hg3Pd4: relaxed, PBE.

Results
The value obtained for the formation energy is -0.189 eV per atom.

Cell: 3.121 11.466 11.384 Å, 90.00 90.00 90.00°
Space group Amm2 (No. 38)
One atom of each set of equivalent atoms:
Na (0.000, 0.000, 0.000) [2 per cell]
Na (0.500, 0.245, 0.585) [4 per cell]
Hg (0.000, 0.000, 0.666) [2 per cell]
Hg (0.000, 0.171, 0.336) [4 per cell]
Pd (0.500, 0.000, 0.217) [2 per cell]
Pd (0.500, 0.000, 0.464) [2 per cell]
Pd (0.500, 0.129, 0.826) [4 per cell]

=====

Hg2Se: relaxed, PBE.

Results
The uncorrected formation energy comes out at 0.23 eV/f.u. As for the energy above the lowest structure with this stoichiometry: 0.168 eV per atom.

Cell: 6.231 6.231 7.934 Å, 90.00 90.00 90.00°
Space group I4/mcm (No. 140)
One atom of each set of equivalent atoms:
Hg (0.162, 0.338, 0.000) [8 per cell]
Se (0.000, 0.000, 0.250) [4 per cell]

=====

TmSnP: relaxed, PBE.

Results
The value obtained for the formation energy is -0.628 eV per atom.

Cell: 4.9360 4.9360 22.2654 Å, 90.00 90.00 120.00°
Space group R-3m (No. 166, hexagonal axes)
One atom of each set of equivalent atoms:
Tm (0.0000, 0.0000, 0.1023) [6 per cell]
Sn (0.0000, 0.0000, 0.3416) [6 per cell]
P (0.0000, 0.0000, 0.2227) [6 per cell]